Entry 1:
This record from the Open Quantum Materials Database describes a relaxed structure of LaHoGe4Os2. The functional is PBE.

## Properties
SG   Pm
Electronic total energy   -54.4 eV for the cell shown
Calculated density   9.9 g/cm3

Lattice parameters (Å, degrees): 4.528 4.405 8.416 90.00 103.95 90.00
Fractional positions:
La: 0.000 0.000 0.000
Ho: 0.795 0.500 0.584
Ge: 0.081 0.500 0.299
Ge: 0.361 0.000 0.705
Ge: 0.443 0.500 0.886
Ge: 0.727 0.000 0.301
Os: 0.291 0.000 0.415
Os: 0.519 0.500 0.183



Entry 2:
This record from the Open Quantum Materials Database describes a relaxed structure of LaHoGe4Pd2. The functional is PBE.

## Properties
SG   Amm2
Electronic total energy   -88.9 eV for the cell shown
Calculated density   8.1 g/cm3

Lattice parameters (Å, degrees): 4.399 4.266 17.583 90.00 90.00 90.00
Fractional positions:
La: 0.000 0.000 0.000
La: 0.000 0.500 0.500
Ho: 0.500 0.000 0.215
Ho: 0.500 0.500 0.715
Ge: 0.000 0.000 0.357
Ge: 0.000 0.000 0.643
Ge: 0.000 0.500 0.143
Ge: 0.000 0.500 0.857
Ge: 0.500 0.000 0.574
Ge: 0.500 0.000 0.853
Ge: 0.500 0.500 0.074
Ge: 0.500 0.500 0.353
Pd: 0.000 0.000 0.780
Pd: 0.000 0.500 0.280
Pd: 0.500 0.000 0.433
Pd: 0.500 0.500 0.933



Entry 3:
This record from the Open Quantum Materials Database describes a relaxed structure of LaHoZn2Ge2. The functional is PBE.

## Properties
Distance to the lowest polymorph of the same formula   0.00 eV/f.u.
SG   P6_3/mmc
Calculated density   7.4 g/cm3

Lattice parameters (Å, degrees): 4.295 4.295 16.233 90.00 90.00 120.00
Fractional positions:
La: 0.000 0.000 0.000
La: 0.000 0.000 0.500
Ho: 0.000 0.000 0.250
Ho: 0.000 0.000 0.750
Zn: 0.333 0.667 0.155
Zn: 0.333 0.667 0.345
Zn: 0.667 0.333 0.655
Zn: 0.667 0.333 0.845
Ge: 0.333 0.667 0.620
Ge: 0.333 0.667 0.880
Ge: 0.667 0.333 0.120
Ge: 0.667 0.333 0.380